# 1
AlOs2Pt: relaxed, PBE-GGA.

Lattice parameters (Å, degrees): 3.8023 3.8023 4.0353 90.00 90.00 90.00
Space group P4/mmm (No. 123)
Inequivalent atoms, fractional coordinates:
Al 0.0000 0.0000 0.0000 (multiplicity 1)
Os 0.0000 0.5000 0.5000 (multiplicity 2)
Pt 0.5000 0.5000 0.0000 (multiplicity 1)

crystal system: tetragonal
energy relative to the elements: -3 kJ per mole of atoms
electronic total energy: -32.375 eV/f.u.

# 2
La2MnPt: relaxed, PBE-GGA.

Lattice parameters (Å, degrees): 3.5110 3.5110 8.4729 90.00 90.00 90.00
Space group P4mm (No. 99)
Inequivalent atoms, fractional coordinates:
La 0.0000 0.0000 0.0000 (multiplicity 1)
La 0.5000 0.5000 0.3934 (multiplicity 1)
Mn 0.0000 0.0000 0.6378 (multiplicity 1)
Pt 0.5000 0.5000 0.7874 (multiplicity 1)

crystal system: tetragonal
energy relative to the elements: -24 kJ per mole of atoms
electronic total energy: -26.048 eV/f.u.

# 3
Tb2CeGa9: relaxed, PBE-GGA.

Lattice parameters (Å, degrees): 4.3003 4.3003 12.9137 90.00 90.00 90.00
Space group P4/mmm (No. 123)
Inequivalent atoms, fractional coordinates:
Tb 0.0000 0.0000 0.1646 (multiplicity 2)
Ce 0.0000 0.0000 0.5000 (multiplicity 1)
Ga 0.0000 0.5000 0.0000 (multiplicity 2)
Ga 0.0000 0.5000 0.3315 (multiplicity 4)
Ga 0.5000 0.5000 0.1670 (multiplicity 2)
Ga 0.5000 0.5000 0.5000 (multiplicity 1)

crystal system: tetragonal
energy relative to the elements: -52 kJ per mole of atoms
electronic total energy: -48.866 eV/f.u.

# 4
BaMgP2O: relaxed, PBE-GGA.

Lattice parameters (Å, degrees): 5.8641 5.8641 4.3832 90.00 90.00 90.00
Space group P4/mmm (No. 123)
Inequivalent atoms, fractional coordinates:
Ba 0.0000 0.0000 0.0000 (multiplicity 1)
Mg 0.5000 0.5000 0.5000 (multiplicity 1)
P 0.0000 0.5000 0.0000 (multiplicity 2)
O 0.0000 0.0000 0.5000 (multiplicity 1)

crystal system: tetragonal
electronic total energy: -16.207 eV/f.u.
formation energy (no corrections): 14.2 kcal/mol of atoms
excess energy over the best structure of this formula in the dataset: 1033 meV/atom

# 5
CePm3Ho6: relaxed, PBE-GGA.

Lattice parameters (Å, degrees): 6.1686 6.1752 9.4350 102.52 109.01 99.74
Space group P-1 (No. 2)
Inequivalent atoms, fractional coordinates:
Ce 0.0000 0.0000 0.0000 (multiplicity 1)
Pm 0.0000 0.5000 0.5000 (multiplicity 1)
Pm 0.3965 0.4959 0.2971 (multiplicity 2)
Ho 0.1992 0.9995 0.3974 (multiplicity 2)
Ho 0.1990 0.5009 0.9018 (multiplicity 2)
Ho 0.3983 0.0005 0.8020 (multiplicity 2)

crystal system: triclinic
energy relative to the elements: 4 kJ per mole of atoms
electronic total energy: -47.232 eV/f.u.
excess energy over the best structure of this formula in the dataset: 0 meV/atom

# 6
MoAs2Au: relaxed, PBE-GGA.

Lattice parameters (Å, degrees): 6.5534 6.5534 6.5534 90.00 90.00 90.00
Space group F-43m (No. 216)
Inequivalent atoms, fractional coordinates:
Mo 0.0000 0.0000 0.0000 (multiplicity 4)
As 0.0000 0.0000 0.5000 (multiplicity 4)
As 0.2500 0.2500 0.2500 (multiplicity 4)
Au 0.2500 0.2500 0.7500 (multiplicity 4)

crystal system: cubic
energy relative to the elements: 55 kJ per mole of atoms
electronic total energy: -21.124 eV/f.u.
excess energy over the best structure of this formula in the dataset: 538 meV/atom

# 7
MoW2N: relaxed, PBE-GGA.

Lattice parameters (Å, degrees): 7.0092 7.0092 4.5947 90.00 90.00 90.00
Space group I-42d (No. 122)
Inequivalent atoms, fractional coordinates:
Mo 0.0000 0.0000 0.0000 (multiplicity 4)
W 0.1373 0.2500 0.6250 (multiplicity 8)
N 0.0000 0.0000 0.5000 (multiplicity 4)

crystal system: tetragonal
electronic total energy: -44.239 eV/f.u.
formation energy (no corrections): 4.7 kcal/mol of atoms

# 8
Ag4Pt7: relaxed, PBE-GGA.

Lattice parameters (Å, degrees): 18.8431 2.7992 7.0659 90.00 105.86 90.00
Space group C2/m (No. 12)
Inequivalent atoms, fractional coordinates:
Ag 0.1380 0.0000 0.0780 (multiplicity 4)
Ag 0.2218 0.0000 0.8120 (multiplicity 4)
Pt 0.0000 0.5000 0.0000 (multiplicity 2)
Pt 0.0516 0.0000 0.3531 (multiplicity 4)
Pt 0.0804 0.5000 0.7059 (multiplicity 4)
Pt 0.1841 0.5000 0.4496 (multiplicity 4)

crystal system: monoclinic
energy relative to the elements: -2 kJ per mole of atoms
electronic total energy: -53.881 eV/f.u.
excess energy over the best structure of this formula in the dataset: 0 meV/atom

# 9
NaCaCl2: relaxed, PBE-GGA.

Lattice parameters (Å, degrees): 4.2044 4.2044 24.7118 90.00 90.00 120.00
Space group R-3m (No. 166, hexagonal axes)
Inequivalent atoms, fractional coordinates:
Na 0.0000 0.0000 0.0000 (multiplicity 3)
Ca 0.0000 0.0000 0.5000 (multiplicity 3)
Cl 0.0000 0.0000 0.3944 (multiplicity 6)

crystal system: trigonal
electronic total energy: -13.424 eV/f.u.
formation energy (no corrections): -37.0 kcal/mol of atoms
excess energy over the best structure of this formula in the dataset: 108 meV/atom

# 10
Pm3SmDy3: relaxed, PBE-GGA.

Lattice parameters (Å, degrees): 9.9824 9.9824 8.2325 90.00 90.00 120.00
Space group R3m (No. 160, hexagonal axes)
Inequivalent atoms, fractional coordinates:
Pm 0.0932 0.5466 0.0000 (multiplicity 9)
Sm 0.0000 0.0000 0.0408 (multiplicity 3)
Dy 0.0650 0.5325 0.4293 (multiplicity 9)

crystal system: trigonal
energy relative to the elements: 22 kJ per mole of atoms
electronic total energy: -31.163 eV/f.u.
excess energy over the best structure of this formula in the dataset: 26 meV/atom

# 11
CeHo2Er4: relaxed, PBE-GGA.

Lattice parameters (Å, degrees): 3.5817 22.4246 5.5702 90.00 90.00 90.00
Space group Cmmm (No. 65)
Inequivalent atoms, fractional coordinates:
Ce 0.0000 0.0000 0.0000 (multiplicity 2)
Ho 0.0000 0.4306 0.5000 (multiplicity 4)
Er 0.0000 0.1919 0.5000 (multiplicity 4)
Er 0.0000 0.3304 0.0000 (multiplicity 4)

crystal system: orthorhombic
energy relative to the elements: 20 kJ per mole of atoms
electronic total energy: -31.861 eV/f.u.

# 12
LuThCoIr: relaxed, PBE-GGA.

Lattice parameters (Å, degrees): 6.8800 6.8800 6.8800 90.00 90.00 90.00
Space group F-43m (No. 216)
Inequivalent atoms, fractional coordinates:
Lu 0.0000 0.0000 0.0000 (multiplicity 4)
Th 0.0000 0.0000 0.5000 (multiplicity 4)
Co 0.2500 0.2500 0.2500 (multiplicity 4)
Ir 0.2500 0.2500 0.7500 (multiplicity 4)

crystal system: cubic
energy relative to the elements: -50 kJ per mole of atoms
electronic total energy: -30.001 eV/f.u.

# 13
GaBiAs2: relaxed, PBE-GGA.

Lattice parameters (Å, degrees): 7.1125 7.1125 7.1125 90.00 90.00 90.00
Space group Fm-3m (No. 225)
Inequivalent atoms, fractional coordinates:
Ga 0.0000 0.0000 0.0000 (multiplicity 4)
Bi 0.0000 0.0000 0.5000 (multiplicity 4)
As 0.2500 0.2500 0.2500 (multiplicity 8)

crystal system: cubic
energy relative to the elements: 25 kJ per mole of atoms
electronic total energy: -15.185 eV/f.u.
excess energy over the best structure of this formula in the dataset: 245 meV/atom

# 14
Ac5PmP6: relaxed, PBE-GGA.

Lattice parameters (Å, degrees): 7.6206 13.2002 7.6191 90.00 109.50 90.00
Space group C2/m (No. 12)
Inequivalent atoms, fractional coordinates:
Ac 0.0000 0.0000 0.0000 (multiplicity 2)
Ac 0.0000 0.1664 0.5000 (multiplicity 4)
Ac 0.0000 0.3330 0.0000 (multiplicity 4)
Pm 0.0000 0.5000 0.5000 (multiplicity 2)
P 0.2425 0.5000 0.2554 (multiplicity 4)
P 0.2436 0.3378 0.7446 (multiplicity 8)

crystal system: monoclinic
energy relative to the elements: -141 kJ per mole of atoms
electronic total energy: -75.345 eV/f.u.

# 15
B3TeF: relaxed, PBE-GGA.

Lattice parameters (Å, degrees): 4.1019 4.1019 4.1019 90.00 90.00 90.00
Space group Pm-3m (No. 221)
Inequivalent atoms, fractional coordinates:
B 0.0000 0.0000 0.5000 (multiplicity 3)
Te 0.5000 0.5000 0.5000 (multiplicity 1)
F 0.0000 0.0000 0.0000 (multiplicity 1)

crystal system: cubic
electronic total energy: -16.129 eV/f.u.
formation energy (no corrections): 41.1 kcal/mol of atoms
excess energy over the best structure of this formula in the dataset: 0 meV/atom

# 16
Ti2AsRh5: relaxed, PBE-GGA.

Lattice parameters (Å, degrees): 5.4641 10.6060 3.9737 90.00 90.00 90.00
Space group Pbam (No. 55)
Inequivalent atoms, fractional coordinates:
Ti 0.1695 0.1441 0.0000 (multiplicity 4)
As 0.0000 0.5000 0.5000 (multiplicity 2)
Rh 0.0000 0.0000 0.5000 (multiplicity 2)
Rh 0.0729 0.7419 0.5000 (multiplicity 4)
Rh 0.1909 0.3924 0.0000 (multiplicity 4)

crystal system: orthorhombic
energy relative to the elements: -73 kJ per mole of atoms
electronic total energy: -63.255 eV/f.u.

# 17
LiZn2N2: relaxed, PBE-GGA.

Lattice parameters (Å, degrees): 3.9723 3.9723 8.0066 90.00 90.00 90.00
Space group I4/mmm (No. 139)
Inequivalent atoms, fractional coordinates:
Li 0.0000 0.0000 0.0000 (multiplicity 2)
Zn 0.0000 0.0000 0.3123 (multiplicity 4)
N 0.0000 0.5000 0.2500 (multiplicity 4)

crystal system: tetragonal
electronic total energy: -18.982 eV/f.u.
formation energy (no corrections): 9.8 kcal/mol of atoms
excess energy over the best structure of this formula in the dataset: 0 meV/atom

# 18
TlSn2Br6: relaxed, PBE-GGA.

Lattice parameters (Å, degrees): 14.0304 5.5125 10.6964 90.00 118.26 90.00
Space group C2/m (No. 12)
Inequivalent atoms, fractional coordinates:
Tl 0.0000 0.0000 0.0000 (multiplicity 2)
Sn 0.1821 0.0000 0.6428 (multiplicity 4)
Br 0.0133 0.0000 0.6928 (multiplicity 4)
Br 0.1644 0.5000 0.0855 (multiplicity 4)
Br 0.1949 0.5000 0.5983 (multiplicity 4)

crystal system: monoclinic
electronic total energy: -26.930 eV/f.u.
formation energy (no corrections): -16.7 kcal/mol of atoms
excess energy over the best structure of this formula in the dataset: 0 meV/atom

# 19
KY2Sc: relaxed, PBE-GGA.

Lattice parameters (Å, degrees): 7.3492 10.5518 3.4888 90.00 90.00 90.00
Space group Cmmm (No. 65)
Inequivalent atoms, fractional coordinates:
K 0.0000 0.0000 0.0000 (multiplicity 2)
Y 0.2500 0.2500 0.5000 (multiplicity 4)
Sc 0.0000 0.5000 0.0000 (multiplicity 2)

crystal system: orthorhombic
energy relative to the elements: 52 kJ per mole of atoms
electronic total energy: -18.201 eV/f.u.
excess energy over the best structure of this formula in the dataset: 305 meV/atom

# 20
Na2ErRuO6: relaxed, PBE-GGA.

Lattice parameters (Å, degrees): 5.6008 5.7079 9.7397 90.00 124.73 90.00
Space group P2_1/c (No. 14)
Inequivalent atoms, fractional coordinates:
Na 0.2418 0.0381 0.2502 (multiplicity 4)
Er 0.5000 0.0000 0.0000 (multiplicity 2)
Ru 0.0000 0.0000 0.5000 (multiplicity 2)
O 0.1368 0.2250 0.9538 (multiplicity 4)
O 0.2336 0.6874 0.9584 (multiplicity 4)
O 0.3136 0.0236 0.7300 (multiplicity 4)

crystal system: monoclinic
electronic total energy: -63.409 eV/f.u.
formation energy (no corrections): -39.6 kcal/mol of atoms

# 21
Nd4PtSeI2: relaxed, PBE-GGA.

Lattice parameters (Å, degrees): 7.6682 4.2069 8.1180 90.00 107.02 90.00
Space group P2/m (No. 10)
Inequivalent atoms, fractional coordinates:
Nd 0.2130 0.0000 0.1959 (multiplicity 2)
Nd 0.2635 0.5000 0.8007 (multiplicity 2)
Pt 0.0000 0.5000 0.0000 (multiplicity 1)
Se 0.5000 0.0000 0.0000 (multiplicity 1)
I 0.0000 0.0000 0.5000 (multiplicity 1)
I 0.5000 0.5000 0.5000 (multiplicity 1)

crystal system: monoclinic
electronic total energy: -41.512 eV/f.u.
formation energy (no corrections): -28.3 kcal/mol of atoms

# 22
Nd10ErTm6: relaxed, PBE-GGA.

Lattice parameters (Å, degrees): 9.8029 9.8029 6.8796 90.00 90.00 120.00
Space group P-31m (No. 162)
Inequivalent atoms, fractional coordinates:
Nd 0.0000 0.2757 0.3175 (multiplicity 6)
Nd 0.3333 0.6667 0.0000 (multiplicity 2)
Nd 0.3333 0.6667 0.5000 (multiplicity 2)
Er 0.0000 0.0000 0.0000 (multiplicity 1)
Tm 0.0000 0.3673 0.8146 (multiplicity 6)

crystal system: trigonal
energy relative to the elements: 12 kJ per mole of atoms
electronic total energy: -76.900 eV/f.u.

# 23
AcTlPd3: relaxed, PBE-GGA.

Lattice parameters (Å, degrees): 4.3061 4.3061 12.5117 90.00 90.00 90.00
Space group I4mm (No. 107)
Inequivalent atoms, fractional coordinates:
Ac 0.0000 0.0000 0.0000 (multiplicity 2)
Tl 0.0000 0.0000 0.6686 (multiplicity 2)
Pd 0.0000 0.0000 0.4491 (multiplicity 2)
Pd 0.0000 0.5000 0.3086 (multiplicity 4)

crystal system: tetragonal
energy relative to the elements: -52 kJ per mole of atoms
electronic total energy: -24.743 eV/f.u.

# 24
HoEr4Hg4: relaxed, PBE-GGA.

Lattice parameters (Å, degrees): 9.4534 9.4534 5.4743 90.00 90.00 90.00
Space group P4_2/n (No. 86, origin choice 2)
Inequivalent atoms, fractional coordinates:
Ho 0.2500 0.2500 0.2500 (multiplicity 2)
Er 0.0993 0.8394 0.6473 (multiplicity 8)
Hg 0.0451 0.1459 0.8551 (multiplicity 8)

crystal system: tetragonal
energy relative to the elements: -24 kJ per mole of atoms
electronic total energy: -26.240 eV/f.u.